[1]
# Sm4Y5Ho3

Sm4Y5Ho3 after structural relaxation (PBE-GGA, Alexandria).

Cell lengths 16.1682, 5.9161, 9.3391 Å; angles 90.00, 116.52, 90.00 degrees
With the nearest neighbours (Å) after each atom.
Space group C2/m (No. 12)
Asymmetric unit:
Sm 0.0834 0.0000 0.4455 x4  2 Sm 3.28-3.66, 1 Ho 3.43, 3 Y 3.44-3.55
Sm 0.2162 0.0000 0.8818 x4  3 Ho 3.33-3.53, 3 Sm 3.56-3.66, 3 Y 3.67
Y 0.0000 0.0000 0.0000 x2  4 Ho 2.96-3.13
Y 0.0725 0.5000 0.7041 x4  2 Ho 3.28-3.45, 2 Y 3.47-3.65, 2 Sm 3.67
Y 0.1716 0.5000 0.3843 x4  4 Ho 3.20-3.45, 3 Sm 3.44-3.55
Ho 0.0000 0.5000 0.0000 x2  2 Y 2.96
Ho 0.2111 0.0000 0.2343 x4  5 Y 3.13-3.45, 2 Sm 3.33-3.43

---

[2]
# Nb4MoRh

Nb4MoRh after structural relaxation (PBE-GGA, Alexandria).

Cell lengths 6.1768, 6.1769, 6.3188 Å; angles 90.00, 90.07, 90.00 degrees
With the nearest neighbours (Å) after each atom.
Space group C2/m (No. 12)
Asymmetric unit:
Nb 0.2502 0.2502 0.2489 x8  2 Mo 2.69, 2 Rh 2.70
Mo 0.0000 0.0000 0.0000 x2  8 Nb 2.69
Rh 0.0000 0.5000 0.5000 x2  8 Nb 2.70

---

For each record above, in turn, the calculated density values are 6.40, 7.86 g/cm³.
For each record above, in turn, the calculated relative energy among the computed polymorphs values are 210, 604 meV/atom.